# 1
Li5CdAg8 PBE relaxed; ΔH_f (0 K) = -0.0769 eV per atom
1.0
6.852 0.035 -0.060
-2.286 6.460 0.060
-2.280 -3.249 5.586
Li Ag Cd
5 8 1
direct
0.308 0.091 0.959
0.868 0.909 0.217
0.041 0.349 0.132
0.500 0.000 0.500
0.783 0.651 0.692
0.337 0.254 0.403
0.740 0.262 0.336
0.664 0.403 0.926
0.149 0.746 0.083
0.597 0.934 0.851
0.522 0.597 0.260
0.917 0.066 0.663
0.074 0.738 0.478
0.250 0.500 0.750

***

# 2
CdPt2Pb2 PBE relaxed; ΔH_f (0 K) = -0.1316 eV per atom; energy above the lowest structure with this stoichiometry = 0.000 eV/atom
1.0
7.497 0.000 0.000
0.000 7.497 0.000
0.000 0.000 3.998
Pt Pb Cd
4 4 2
direct
0.860 0.640 0.000
0.360 0.860 0.000
0.640 0.140 0.000
0.140 0.360 0.000
0.161 0.661 0.500
0.339 0.161 0.500
0.661 0.839 0.500
0.839 0.339 0.500
0.500 0.500 0.000
0.000 0.000 0.000

***

# 3
An optimized crystal structure of CaNdH4. Source: the Alexandria database, functional PBE.

Cell and atoms, written as POSCAR:
```
CaNdH4
1.0
3.823 0.000 -0.001
0.000 3.824 -0.002
0.002 0.004 5.484
Ca Nd H
1 1 4
direct
0.001 0.997 0.498
0.501 0.497 0.998
0.001 0.497 0.746
0.001 0.497 0.250
0.501 0.997 0.250
0.501 0.997 0.746
```

***

# 4
TaZn2 PBE relaxed; ΔH_f (0 K) = 0.4909 eV per atom
1.0
-3.291 3.291 2.547
3.291 -3.291 2.547
3.291 3.291 -2.547
Zn Ta
4 2
direct
0.150 0.350 0.500
0.350 0.850 0.201
0.850 0.650 0.500
0.650 0.150 0.799
0.250 0.250 0.000
0.750 0.750 0.000

***

# 5
Ac2SeS PBE relaxed; E_form (uncorrected) = -7.77 eV per formula unit; energy above the lowest structure with this stoichiometry = 0.000 eV/atom
1.0
-1.944 0.478 3.896
-0.965 -3.526 2.414
5.472 -0.612 5.269
S Ac Se
1 2 1
direct
0.000 0.000 0.000
0.256 0.256 0.233
0.744 0.744 0.767
0.500 0.500 0.500

***

# 6
Ba2CaSi PBE relaxed; E_form (uncorrected) = 0.03 eV per formula unit; energy above the lowest structure with this stoichiometry = 0.146 eV/atom
1.0
11.999 0.000 0.000
0.000 11.999 0.000
6.000 6.000 2.907
Ba Si Ca
4 2 2
direct
0.875 0.724 0.750
0.276 0.625 0.250
0.474 0.125 0.250
0.375 0.526 0.750
0.500 0.500 0.000
0.250 0.750 0.500
0.000 0.000 0.000
0.750 0.250 0.500

***

Values for final energy, eV/atom, ordered as above
-2.455, -4.214, -3.954, -4.309, -5.899, -2.810